1.
Density functional theory data (PBE) for Cd2NiOs after structural relaxation.

- Polymorph energy (0 for the lowest one): 322 meV per atom
- Symmetry: F-43m, No. 216
- Volume: 65.5 Å³/cell
- Energy of formation from the pure elements: 614 meV per atom

abc: 4.5250 4.5250 4.5250
angles: 60.00 60.00 60.00
Sites, in units of the cell vectors:
Ni 0.5000 0.5000 0.5000
Os 0.7500 0.7500 0.7500
Cd 0.2500 0.2500 0.2500
Cd 0.0000 0.0000 0.0000

***

2.
Density functional theory data (PBE) for Cd2NiOs after structural relaxation.

- Polymorph energy (0 for the lowest one): 279 meV per atom
- Symmetry: I4/mmm, No. 139
- Volume: 65.3 Å³/cell
- Energy of formation from the pure elements: 571 meV per atom

abc: 4.9711 4.9711 4.9711
angles: 132.59 132.59 69.29
Sites, in units of the cell vectors:
Cd 0.5000 0.5000 0.0000
Cd 0.0000 0.0000 0.0000
Ni 0.2500 0.7500 0.5000
Os 0.7500 0.2500 0.5000

***

3.
Density functional theory data (PBE) for CdNi2Os after structural relaxation.

- Symmetry: I-4m2, No. 119
- Volume: 56.2 Å³/cell
- Energy of formation from the pure elements: 483 meV per atom

abc: 4.7951 4.7951 4.7951
angles: 133.96 133.96 67.15
Sites, in units of the cell vectors:
Cd 0.7500 0.2500 0.5000
Ni 0.2500 0.7500 0.5000
Ni 0.0000 0.0000 0.0000
Os 0.5000 0.5000 0.0000

***

4.
Density functional theory data (PBE) for CdNi2Os after structural relaxation.

- Symmetry: Cmm2, No. 35
- Volume: 57.2 Å³/cell
- Energy of formation from the pure elements: 450 meV per atom

abc: 2.6786 2.6786 8.8852
angles: 90.00 90.00 116.25
Sites, in units of the cell vectors:
Cd 0.5000 0.5000 0.7636
Ni 0.5000 0.5000 0.2415
Ni 0.0000 0.0000 0.0218
Os 0.0000 0.0000 0.4732

***

5.
Density functional theory data (PBE) for CdNiOs2 after structural relaxation.

- Symmetry: P4/mmm, No. 123
- Volume: 60.1 Å³/cell
- Energy of formation from the pure elements: 553 meV per atom

abc: 2.9415 2.9415 6.9493
angles: 90.00 90.00 90.00
Sites, in units of the cell vectors:
Os 0.0000 0.0000 0.5548
Os 0.0000 0.0000 0.9452
Ni 0.5000 0.5000 0.7500
Cd 0.5000 0.5000 0.2500

***

6.
Density functional theory data (PBE) for CdNi2Os after structural relaxation.

- Symmetry: Pm, No. 6
- Volume: 55.5 Å³/cell
- Energy of formation from the pure elements: 272 meV per atom

abc: 4.1777 2.6662 5.1693
angles: 74.63 90.00 90.00
Sites, in units of the cell vectors:
Os 0.0000 0.4653 0.4376
Cd 0.5000 0.7967 0.7885
Ni 0.5000 0.0473 0.2750
Ni 0.0000 0.1908 0.9989

***

7.
Density functional theory data (PBE) for CdNiOs2 after structural relaxation.

- Symmetry: R-3m, No. 166
- Volume: 59.2 Å³/cell
- Energy of formation from the pure elements: 439 meV per atom

abc: 9.1754 9.1754 9.1754
angles: 17.24 17.24 17.24
Sites, in units of the cell vectors:
Os 0.4911 0.4911 0.4911
Os 0.0089 0.0089 0.0089
Cd 0.2500 0.2500 0.2500
Ni 0.7500 0.7500 0.7500

***

8.
Density functional theory data (PBE) for CdNi2Os after structural relaxation.

- Symmetry: Pmm2, No. 25
- Volume: 56.7 Å³/cell
- Energy of formation from the pure elements: 346 meV per atom

abc: 2.7024 3.5972 5.8314
angles: 90.00 90.00 90.00
Sites, in units of the cell vectors:
Os 0.0000 0.0000 0.4487
Cd 0.5000 0.5000 0.7684
Ni 0.5000 0.5000 0.2536
Ni 0.0000 0.0000 0.0294

***

9.
Density functional theory data (PBE) for CdNiOs2 after structural relaxation.

- Symmetry: R3m, No. 160
- Volume: 59.8 Å³/cell
- Energy of formation from the pure elements: 286 meV per atom

abc: 9.1793 9.1793 9.1793
angles: 17.32 17.32 17.32
Sites, in units of the cell vectors:
Os 0.2575 0.2575 0.2575
Os 0.0015 0.0015 0.0015
Cd 0.4963 0.4963 0.4963
Ni 0.7448 0.7448 0.7448

***

10.
Density functional theory data (PBE) for CdNiOs2 after structural relaxation.

- Symmetry: P4/mmm, No. 123
- Volume: 59.7 Å³/cell
- Energy of formation from the pure elements: 651 meV per atom

abc: 4.2999 3.7274 3.7274
angles: 90.00 90.00 90.00
Sites, in units of the cell vectors:
Os 0.0000 0.0000 0.0000
Os 0.0000 0.5000 0.5000
Ni 0.5000 0.0000 0.5000
Cd 0.5000 0.5000 0.0000

***

11.
Density functional theory data (PBE) for CdNi2Os after structural relaxation.

- Symmetry: Cmmm, No. 65
- Volume: 54.9 Å³/cell
- Energy of formation from the pure elements: 277 meV per atom

abc: 4.6063 4.6063 2.6732
angles: 90.00 90.00 104.52
Sites, in units of the cell vectors:
Ni 0.0000 0.0000 0.0000
Ni 0.5000 0.5000 0.0000
Os 0.5000 0.0000 0.5000
Cd 0.0000 0.5000 0.5000

***

12.
Density functional theory data (PBE) for Cd2NiOs after structural relaxation.

- Polymorph energy (0 for the lowest one): 269 meV per atom
- Symmetry: Pmmm, No. 47
- Volume: 64.8 Å³/cell
- Energy of formation from the pure elements: 561 meV per atom

abc: 3.0896 4.6176 4.5439
angles: 90.00 90.00 90.00
Sites, in units of the cell vectors:
Os 0.0000 0.5000 0.5000
Ni 0.5000 0.0000 0.5000
Cd 0.0000 0.0000 0.0000
Cd 0.5000 0.5000 0.0000

***

13.
Density functional theory data (PBE) for CdNi2Os after structural relaxation.

- Symmetry: P4/mmm, No. 123
- Volume: 55.7 Å³/cell
- Energy of formation from the pure elements: 150 meV per atom

abc: 2.7205 2.7205 7.5274
angles: 90.00 90.00 90.00
Sites, in units of the cell vectors:
Cd 0.5000 0.5000 0.7500
Ni 0.0000 0.0000 0.0242
Ni 0.0000 0.0000 0.4758
Os 0.5000 0.5000 0.2500

***

14.
Density functional theory data (PBE) for CdNi2Os after structural relaxation.

- Symmetry: R-3m, No. 166
- Volume: 56.1 Å³/cell
- Energy of formation from the pure elements: 212 meV per atom

abc: 8.8110 8.8110 8.8110
angles: 17.84 17.84 17.84
Sites, in units of the cell vectors:
Os 0.2500 0.2500 0.2500
Cd 0.7500 0.7500 0.7500
Ni 0.9946 0.9946 0.9946
Ni 0.5054 0.5054 0.5054

***

15.
Density functional theory data (PBE) for Cd2NiOs after structural relaxation.

- Polymorph energy (0 for the lowest one): 327 meV per atom
- Symmetry: Fm-3m, No. 225
- Volume: 65.6 Å³/cell
- Energy of formation from the pure elements: 619 meV per atom

abc: 4.5272 4.5272 4.5272
angles: 60.00 60.00 60.00
Sites, in units of the cell vectors:
Cd 0.2500 0.2500 0.2500
Cd 0.7500 0.7500 0.7500
Ni 0.0000 0.0000 0.0000
Os 0.5000 0.5000 0.5000

***

16.
Density functional theory data (PBE) for CdNiOs2 after structural relaxation.

- Symmetry: I-42d, No. 122
- Volume: 132.5 Å³/cell
- Energy of formation from the pure elements: 955 meV per atom

abc: 7.4196 7.4196 5.7719
angles: 50.00 50.00 90.00
Sites, in units of the cell vectors:
Os 0.1869 0.6250 0.2500
Os 0.5631 0.1250 0.2500
Os 0.8750 0.8131 0.7500
Os 0.3750 0.4369 0.7500
Cd 0.0000 0.0000 0.0000
Cd 0.7500 0.2500 0.5000
Ni 0.5000 0.5000 0.0000
Ni 0.2500 0.7500 0.5000

***

17.
Density functional theory data (PBE) for CdNiOs2 after structural relaxation.

- Symmetry: Cmmm, No. 65
- Volume: 60.3 Å³/cell
- Energy of formation from the pure elements: 611 meV per atom

abc: 2.7091 2.7091 9.2833
angles: 90.00 90.00 117.83
Sites, in units of the cell vectors:
Os 0.0000 0.0000 0.5239
Os 0.0000 0.0000 0.9761
Cd 0.5000 0.5000 0.2500
Ni 0.5000 0.5000 0.7500

***

18.
Density functional theory data (PBE) for CdNiOs2 after structural relaxation.

- Symmetry: Cm, No. 8
- Volume: 60.1 Å³/cell
- Energy of formation from the pure elements: 417 meV per atom

abc: 4.6727 4.6727 4.9533
angles: 81.69 81.69 34.23
Sites, in units of the cell vectors:
Os 0.9982 0.9982 0.9768
Os 0.7423 0.7423 0.8039
Cd 0.5027 0.5027 0.4738
Ni 0.2568 0.2568 0.2454

***

19.
Density functional theory data (PBE) for CdNiOs2 after structural relaxation.

- Symmetry: C2/m, No. 12
- Volume: 59.9 Å³/cell
- Energy of formation from the pure elements: 377 meV per atom

abc: 5.5965 5.5965 4.4117
angles: 66.30 66.30 28.46
Sites, in units of the cell vectors:
Ni 0.2500 0.2500 0.2500
Os 0.9658 0.9658 0.0344
Os 0.5342 0.5342 0.4656
Cd 0.7500 0.7500 0.7500

***

20.
Density functional theory data (PBE) for CdNiOs2 after structural relaxation.

- Symmetry: P2/m, No. 10
- Volume: 59.2 Å³/cell
- Energy of formation from the pure elements: 507 meV per atom

abc: 2.7395 4.7023 5.5625
angles: 55.68 90.00 90.00
Sites, in units of the cell vectors:
Cd 0.5000 0.5000 0.5000
Ni 0.0000 0.0000 0.5000
Os 0.0000 0.0000 0.0000
Os 0.5000 0.5000 0.0000